This record from the Alexandria database describes AsCI after structural relaxation. The functional is PBE-GGA.

```
data_AsCI
_chemical_formula_sum 'As1 C1 I1'
_cell_length_a 3.220
_cell_length_b 4.807
_cell_length_c 6.477
_cell_angle_alpha 104.37
_cell_angle_beta 90.69
_cell_angle_gamma 107.14
_symmetry_space_group_name_H-M 'P 1'
_symmetry_Int_Tables_number 1
loop_
_symmetry_equiv_pos_as_xyz
'x,y,z'
loop_
_atom_site_label
_atom_site_type_symbol
_atom_site_fract_x
_atom_site_fract_y
_atom_site_fract_z
C1 C 0.880 0.453 0.047
As1 As 0.446 0.594 0.203
I1 I 0.743 0.162 0.733
```

Crystal system = triclinic
ΔE_f (raw) = 0.962 eV per atom
Polymorph energy (0 for the lowest one) = 0 meV per atom
Calculated density = 3.8 g/cm3
E_tot = -4.18 eV per atom
D(E_F) = 1.24 states/eV/cell